[1]
# TbEr2Tm5Sc

A relaxed TbEr2Tm5Sc crystal (PBE-GGA, Alexandria via LeMat-Bulk).

Computed properties:
ΔH_f (0 K) = 3.99 kcal/mol of atoms
V = 549 Å³ per cell
Density of states at the Fermi level = 29.4 states/eV/cell
Space-group type = No. 36

Geometry as CIF:
```
data_TbEr2Tm5Sc
_symmetry_space_group_name_H-M 'P 1'
_symmetry_Int_Tables_number 1
_cell_length_a 10.150
_cell_length_b 10.150
_cell_length_c 10.263
_cell_angle_alpha 90.00
_cell_angle_beta 90.00
_cell_angle_gamma 148.73
loop_
_symmetry_equiv_pos_as_xyz
'x,y,z'
loop_
_atom_site_label
_atom_site_type_symbol
_atom_site_fract_x
_atom_site_fract_y
_atom_site_fract_z
_atom_site_occupancy
Tb1 Tb 0.089 0.911 0.500 1
Tb2 Tb 0.911 0.089 0.000 1
Er1 Er 0.387 0.613 0.782 1
Er2 Er 0.389 0.611 0.359 1
Er3 Er 0.611 0.389 0.859 1
Er4 Er 0.613 0.387 0.282 1
Tm1 Tm 0.019 0.981 0.784 1
Tm2 Tm 0.120 0.880 0.067 1
Tm3 Tm 0.200 0.800 0.751 1
Tm4 Tm 0.223 0.777 0.365 1
Tm5 Tm 0.482 0.518 0.065 1
Tm6 Tm 0.518 0.482 0.565 1
Tm7 Tm 0.777 0.223 0.865 1
Tm8 Tm 0.800 0.200 0.251 1
Tm9 Tm 0.880 0.120 0.567 1
Tm10 Tm 0.981 0.019 0.284 1
Sc1 Sc 0.304 0.696 0.059 1
Sc2 Sc 0.696 0.304 0.559 1
```


[2]
# NpGa2AuO8

A relaxed NpGa2AuO8 crystal (PBE-GGA, Alexandria via LeMat-Bulk).

Computed properties:
V = 147 Å³ per cell
Formation energy without anion corrections = -1592 meV/atom
Space-group type = No. 2

Geometry as CIF:
```
data_NpGa2AuO8
_symmetry_space_group_name_H-M 'P 1'
_symmetry_Int_Tables_number 1
_cell_length_a 4.834
_cell_length_b 4.842
_cell_length_c 6.332
_cell_angle_alpha 85.34
_cell_angle_beta 85.30
_cell_angle_gamma 85.81
loop_
_symmetry_equiv_pos_as_xyz
'x,y,z'
loop_
_atom_site_label
_atom_site_type_symbol
_atom_site_fract_x
_atom_site_fract_y
_atom_site_fract_z
_atom_site_occupancy
Np1 Np 0.000 0.000 0.000 1
Ga1 Ga 0.475 0.475 0.263 1
Ga2 Ga 0.525 0.525 0.737 1
Au1 Au 0.000 0.000 0.500 1
O1 O 0.200 0.197 0.247 1
O2 O 0.228 0.223 0.814 1
O3 O 0.308 0.689 0.000 1
O4 O 0.310 0.686 0.500 1
O5 O 0.690 0.314 0.500 1
O6 O 0.692 0.311 0.000 1
O7 O 0.772 0.777 0.186 1
O8 O 0.800 0.803 0.753 1
```


[3]
# NaDyMgIn

A relaxed NaDyMgIn crystal (PBE-GGA, Alexandria via LeMat-Bulk).

Computed properties:
ΔH_f (0 K) = -2.42 kcal/mol of atoms
V = 100 Å³ per cell
Density of states at the Fermi level = 2.8 states/eV/cell
Space-group type = No. 216

Geometry as CIF:
```
data_NaDyMgIn
_symmetry_space_group_name_H-M 'P 1'
_symmetry_Int_Tables_number 1
_cell_length_a 5.218
_cell_length_b 5.218
_cell_length_c 5.218
_cell_angle_alpha 60.00
_cell_angle_beta 60.00
_cell_angle_gamma 60.00
loop_
_symmetry_equiv_pos_as_xyz
'x,y,z'
loop_
_atom_site_label
_atom_site_type_symbol
_atom_site_fract_x
_atom_site_fract_y
_atom_site_fract_z
_atom_site_occupancy
Na1 Na 0.000 0.000 0.000 1
Dy1 Dy 0.250 0.250 0.250 1
Mg1 Mg 0.750 0.750 0.750 1
In1 In 0.500 0.500 0.500 1
```


[4]
# HgAu3O

A relaxed HgAu3O crystal (PBE-GGA, Alexandria via LeMat-Bulk).

Computed properties:
ΔE to the lowest computed polymorph = 1018 meV per atom
V = 143 Å³ per cell
Density of states at the Fermi level = 9.8 states/eV/cell
Formation energy without anion corrections = 1366 meV/atom
Space-group type = No. 221

Geometry as CIF:
```
data_HgAu3O
_symmetry_space_group_name_H-M 'P 1'
_symmetry_Int_Tables_number 1
_cell_length_a 5.229
_cell_length_b 5.229
_cell_length_c 5.229
_cell_angle_alpha 90.00
_cell_angle_beta 90.00
_cell_angle_gamma 90.00
loop_
_symmetry_equiv_pos_as_xyz
'x,y,z'
loop_
_atom_site_label
_atom_site_type_symbol
_atom_site_fract_x
_atom_site_fract_y
_atom_site_fract_z
_atom_site_occupancy
Hg1 Hg 0.000 0.000 0.000 1
Au1 Au 0.000 0.000 0.500 1
Au2 Au 0.000 0.500 0.000 1
Au3 Au 0.500 0.000 0.000 1
O1 O 0.500 0.500 0.500 1
```


[5]
# Na2BeCdAs2

A relaxed Na2BeCdAs2 crystal (PBE-GGA, Alexandria via LeMat-Bulk).

Computed properties:
ΔH_f (0 K) = -7.68 kcal/mol of atoms
V = 250 Å³ per cell
Density of states at the Fermi level = 0.0 states/eV/cell
Space-group type = No. 72

Geometry as CIF:
```
data_Na2BeCdAs2
_symmetry_space_group_name_H-M 'P 1'
_symmetry_Int_Tables_number 1
_cell_length_a 8.223
_cell_length_b 8.223
_cell_length_c 8.223
_cell_angle_alpha 137.50
_cell_angle_beta 61.50
_cell_angle_gamma 137.73
loop_
_symmetry_equiv_pos_as_xyz
'x,y,z'
loop_
_atom_site_label
_atom_site_type_symbol
_atom_site_fract_x
_atom_site_fract_y
_atom_site_fract_z
_atom_site_occupancy
Na1 Na 0.179 0.229 0.409 1
Na2 Na 0.321 0.729 0.050 1
Na3 Na 0.679 0.271 0.950 1
Na4 Na 0.821 0.771 0.591 1
Be1 Be 0.250 0.750 0.500 1
Be2 Be 0.750 0.250 0.500 1
Cd1 Cd 0.250 0.250 0.000 1
Cd2 Cd 0.750 0.750 0.000 1
As1 As 0.106 0.699 0.805 1
As2 As 0.394 0.199 0.593 1
As3 As 0.606 0.801 0.407 1
As4 As 0.894 0.301 0.195 1
```


[6]
# CdRh2Pb

A relaxed CdRh2Pb crystal (PBE-GGA, Alexandria via LeMat-Bulk).

Computed properties:
ΔH_f (0 K) = 2.63 kcal/mol of atoms
V = 75 Å³ per cell
Density of states at the Fermi level = 2.7 states/eV/cell
Space-group type = No. 25

Geometry as CIF:
```
data_CdRh2Pb
_symmetry_space_group_name_H-M 'P 1'
_symmetry_Int_Tables_number 1
_cell_length_a 3.112
_cell_length_b 4.287
_cell_length_c 5.592
_cell_angle_alpha 90.00
_cell_angle_beta 90.00
_cell_angle_gamma 90.00
loop_
_symmetry_equiv_pos_as_xyz
'x,y,z'
loop_
_atom_site_label
_atom_site_type_symbol
_atom_site_fract_x
_atom_site_fract_y
_atom_site_fract_z
_atom_site_occupancy
Cd1 Cd 0.000 0.000 0.000 1
Rh1 Rh 0.000 0.000 0.519 1
Rh2 Rh 0.500 0.500 0.843 1
Pb1 Pb 0.500 0.500 0.349 1
```


[7]
# Ac2CuPt3

A relaxed Ac2CuPt3 crystal (PBE-GGA, Alexandria via LeMat-Bulk).

Computed properties:
ΔH_f (0 K) = -20.86 kcal/mol of atoms
ΔE to the lowest computed polymorph = 3 meV per atom
V = 145 Å³ per cell
Density of states at the Fermi level = 2.1 states/eV/cell
Space-group type = No. 25

Geometry as CIF:
```
data_Ac2CuPt3
_symmetry_space_group_name_H-M 'P 1'
_symmetry_Int_Tables_number 1
_cell_length_a 4.061
_cell_length_b 4.473
_cell_length_c 7.972
_cell_angle_alpha 90.00
_cell_angle_beta 90.00
_cell_angle_gamma 90.00
loop_
_symmetry_equiv_pos_as_xyz
'x,y,z'
loop_
_atom_site_label
_atom_site_type_symbol
_atom_site_fract_x
_atom_site_fract_y
_atom_site_fract_z
_atom_site_occupancy
Ac1 Ac 0.000 0.000 0.000 1
Ac2 Ac 0.000 0.500 0.483 1
Cu1 Cu 0.500 0.500 0.819 1
Pt1 Pt 0.500 0.000 0.336 1
Pt2 Pt 0.500 0.000 0.676 1
Pt3 Pt 0.500 0.500 0.135 1
```


[8]
# Nb2CuRu

A relaxed Nb2CuRu crystal (PBE-GGA, Alexandria via LeMat-Bulk).

Computed properties:
ΔH_f (0 K) = 9.19 kcal/mol of atoms
V = 67 Å³ per cell
Density of states at the Fermi level = 4.7 states/eV/cell
Space-group type = No. 166

Geometry as CIF:
```
data_Nb2CuRu
_symmetry_space_group_name_H-M 'P 1'
_symmetry_Int_Tables_number 1
_cell_length_a 10.065
_cell_length_b 10.065
_cell_length_c 10.065
_cell_angle_alpha 15.98
_cell_angle_beta 15.98
_cell_angle_gamma 15.98
loop_
_symmetry_equiv_pos_as_xyz
'x,y,z'
loop_
_atom_site_label
_atom_site_type_symbol
_atom_site_fract_x
_atom_site_fract_y
_atom_site_fract_z
_atom_site_occupancy
Nb1 Nb 0.090 0.090 0.090 1
Nb2 Nb 0.910 0.910 0.910 1
Cu1 Cu 0.000 0.000 0.000 1
Ru1 Ru 0.500 0.500 0.500 1
```


[9]
# Ba2NdRu3O12

A relaxed Ba2NdRu3O12 crystal (PBE-GGA, Alexandria via LeMat-Bulk).

Computed properties:
V = 256 Å³ per cell
Density of states at the Fermi level = 9.1 states/eV/cell
Formation energy without anion corrections = -1621 meV/atom
Space-group type = No. 166

Geometry as CIF:
```
data_Ba2NdRu3O12
_symmetry_space_group_name_H-M 'P 1'
_symmetry_Int_Tables_number 1
_cell_length_a 6.892
_cell_length_b 6.892
_cell_length_c 6.892
_cell_angle_alpha 64.82
_cell_angle_beta 64.82
_cell_angle_gamma 64.82
loop_
_symmetry_equiv_pos_as_xyz
'x,y,z'
loop_
_atom_site_label
_atom_site_type_symbol
_atom_site_fract_x
_atom_site_fract_y
_atom_site_fract_z
_atom_site_occupancy
Ba1 Ba 0.110 0.110 0.110 1
Ba2 Ba 0.890 0.890 0.890 1
Nd1 Nd 0.500 0.500 0.500 1
Ru1 Ru 0.000 0.500 0.500 1
Ru2 Ru 0.500 0.000 0.500 1
Ru3 Ru 0.500 0.500 0.000 1
O1 O 0.079 0.633 0.633 1
O2 O 0.221 0.221 0.611 1
O3 O 0.221 0.611 0.221 1
O4 O 0.367 0.367 0.921 1
O5 O 0.367 0.921 0.367 1
O6 O 0.389 0.779 0.779 1
O7 O 0.611 0.221 0.221 1
O8 O 0.633 0.079 0.633 1
O9 O 0.633 0.633 0.079 1
O10 O 0.779 0.389 0.779 1
O11 O 0.779 0.779 0.389 1
O12 O 0.921 0.367 0.367 1
```


[10]
# Th2Al2Au

A relaxed Th2Al2Au crystal (PBE-GGA, Alexandria via LeMat-Bulk).

Computed properties:
ΔH_f (0 K) = -12.22 kcal/mol of atoms
V = 242 Å³ per cell
Density of states at the Fermi level = 8.7 states/eV/cell
Space-group type = No. 12

Geometry as CIF:
```
data_Th2Al2Au
_symmetry_space_group_name_H-M 'P 1'
_symmetry_Int_Tables_number 1
_cell_length_a 5.922
_cell_length_b 5.922
_cell_length_c 10.905
_cell_angle_alpha 115.49
_cell_angle_beta 115.49
_cell_angle_gamma 45.67
loop_
_symmetry_equiv_pos_as_xyz
'x,y,z'
loop_
_atom_site_label
_atom_site_type_symbol
_atom_site_fract_x
_atom_site_fract_y
_atom_site_fract_z
_atom_site_occupancy
Th1 Th 0.005 0.005 0.325 1
Th2 Th 0.183 0.183 0.096 1
Th3 Th 0.817 0.817 0.904 1
Th4 Th 0.995 0.995 0.675 1
Al1 Al 0.357 0.357 0.441 1
Al2 Al 0.484 0.484 0.118 1
Al3 Al 0.516 0.516 0.882 1
Al4 Al 0.643 0.643 0.559 1
Au1 Au 0.275 0.275 0.654 1
Au2 Au 0.725 0.725 0.346 1
```


[11]
# NaNiSb2Cl

A relaxed NaNiSb2Cl crystal (PBE-GGA, Alexandria via LeMat-Bulk).

Computed properties:
V = 146 Å³ per cell
Density of states at the Fermi level = 1.0 states/eV/cell
Formation energy without anion corrections = -226 meV/atom
Space-group type = No. 123

Geometry as CIF:
```
data_NaNiSb2Cl
_symmetry_space_group_name_H-M 'P 1'
_symmetry_Int_Tables_number 1
_cell_length_a 4.726
_cell_length_b 4.726
_cell_length_c 6.537
_cell_angle_alpha 90.00
_cell_angle_beta 90.00
_cell_angle_gamma 90.00
loop_
_symmetry_equiv_pos_as_xyz
'x,y,z'
loop_
_atom_site_label
_atom_site_type_symbol
_atom_site_fract_x
_atom_site_fract_y
_atom_site_fract_z
_atom_site_occupancy
Na1 Na 0.000 0.000 0.000 1
Ni1 Ni 0.000 0.000 0.500 1
Sb1 Sb 0.000 0.500 0.500 1
Sb2 Sb 0.500 0.000 0.500 1
Cl1 Cl 0.500 0.500 0.000 1
```